This record from Alexandria describes a relaxed K2VTc3O12 crystal. The functional is PBE+U.

Cell: 7.2489 7.2489 17.4965 Å, 90.00 90.00 120.00°
Space group R-3m (No. 166, hexagonal axes)
One atom of each set of equivalent atoms:
K (0.0000, 0.0000, 0.1301) [6 per cell]
V (0.0000, 0.0000, 0.5000) [3 per cell]
Tc (0.0000, 0.5000, 0.0000) [9 per cell]
O (0.0819, 0.5409, 0.3545) [18 per cell]
O (0.0858, 0.5429, 0.1051) [18 per cell]

Output
Volume = 14.74 Å³ per atom
VASP energy = -127.6 eV per formula unit

This record from Alexandria describes a relaxed KVTc2O8 crystal. The functional is PBE+U.

Cell: 5.7679 5.7679 7.3392 Å, 90.00 90.00 120.00°
Space group P-3m1 (No. 164)
One atom of each set of equivalent atoms:
K (0.0000, 0.0000, 0.0000) [1 per cell]
V (0.0000, 0.0000, 0.5000) [1 per cell]
Tc (0.3333, 0.6667, 0.7452) [2 per cell]
O (0.1651, 0.3302, 0.6658) [6 per cell]
O (0.3333, 0.6667, 0.9832) [2 per cell]

Output
Volume = 17.62 Å³ per atom
VASP energy = -88.2 eV per formula unit

This record from Alexandria describes a relaxed KV2TcO8 crystal. The functional is PBE+U.

Cell: 9.2171 5.6879 7.7920 Å, 90.00 91.94 90.00°
Space group C2/m (No. 12)
One atom of each set of equivalent atoms:
K (0.0000, 0.0000, 0.0000) [2 per cell]
V (0.1418, 0.5000, 0.2896) [4 per cell]
Tc (0.0000, 0.0000, 0.5000) [2 per cell]
O (0.0385, 0.2397, 0.3282) [8 per cell]
O (0.1880, 0.5000, 0.0869) [4 per cell]
O (0.2030, 0.0000, 0.5721) [4 per cell]

Output
Volume = 17.01 Å³ per atom
VASP energy = -86.9 eV per formula unit

Among the records above, which one has the lowest volume? K2VTc3O12

Which of these has the highest VASP energy? KV2TcO8

Please write out number 1 again, unchanged.
This record from Alexandria describes a relaxed K2VTc3O12 crystal. The functional is PBE+U.

Cell: 7.2489 7.2489 17.4965 Å, 90.00 90.00 120.00°
Space group R-3m (No. 166, hexagonal axes)
One atom of each set of equivalent atoms:
K (0.0000, 0.0000, 0.1301) [6 per cell]
V (0.0000, 0.0000, 0.5000) [3 per cell]
Tc (0.0000, 0.5000, 0.0000) [9 per cell]
O (0.0819, 0.5409, 0.3545) [18 per cell]
O (0.0858, 0.5429, 0.1051) [18 per cell]

Output
Volume = 14.74 Å³ per atom
VASP energy = -127.6 eV per formula unit